[1]
The following is a PBE calculation of a relaxed SrLiMgZn crystal, from Alexandria.

Values from the calculation:
The density comes out at 2.8 g cm⁻³. The calculation puts the total magnetization at 0.0 Bohr magnetons per cell. As for the total DFT energy (no corrections): -1.716 eV/atom.

Unit cell a=4.7956 b=4.8065 c=6.1014 alpha=113.04 beta=90.00 gamma=119.93
With the nearest neighbours (Å) after each atom.
Fractional coordinates of all 4 atoms:
Zn (0.4182, 0.8364, 0.8982)  3 Mg 2.80, 3 Li 2.97-3.00
Mg (0.1085, 0.2170, 0.9674)  3 Zn 2.80, 3 Li 2.86
Sr (0.6202, 0.2404, 0.5023)  4 Li 3.25-3.54, 4 Zn 3.29-3.51
Li (0.8194, 0.6388, 0.0995)  3 Mg 2.86, 3 Zn 2.97-3.00

=====

[2]
The following is a PBE calculation of a relaxed SiBi2I crystal, from Alexandria.

Values from the calculation:
The density comes out at 8.5 g cm⁻³. The calculation puts the total magnetization at 0.0 Bohr magnetons per cell. As for the total DFT energy (no corrections): -3.197 eV/atom. As for the energy relative to the lowest polymorph listed for this composition: 137 meV per atom. As for the uncorrected formation energy: 0.4864 eV/atom.

Unit cell a=5.4181 b=5.4181 c=5.4181 alpha=60.00 beta=60.00 gamma=60.00
With the nearest neighbours (Å) after each atom.
Fractional coordinates of all 4 atoms:
Bi (0.7500, 0.7500, 0.7500)  4 I 3.32, 4 Si 3.32
Bi (0.2500, 0.2500, 0.2500)  4 I 3.32, 4 Si 3.32
Si (0.0000, 0.0000, 0.0000)  8 Bi 3.32
I (0.5000, 0.5000, 0.5000)  8 Bi 3.32

=====

[3]
The following is a PBE calculation of a relaxed BeTlGa crystal, from Alexandria.

Values from the calculation:
The density comes out at 6.2 g cm⁻³. The calculation puts the total magnetization at 0.0 Bohr magnetons per cell. As for the total DFT energy (no corrections): -2.381 eV/atom.

Unit cell a=3.9449 b=3.9449 c=11.2182 alpha=90.00 beta=90.00 gamma=120.00
With the nearest neighbours (Å) after each atom.
Fractional coordinates of all 6 atoms:
Ga (0.0000, 0.0000, 0.2500)  3 Be 2.28
Ga (0.0000, 0.0000, 0.7500)  3 Be 2.28
Be (0.6667, 0.3333, 0.7500)  3 Ga 2.28
Be (0.3333, 0.6667, 0.2500)  3 Ga 2.28
Tl (0.0000, 0.0000, 0.5000)  2 Ga 2.80
Tl (0.0000, 0.0000, 0.0000)  2 Ga 2.80

=====

[4]
The following is a PBE calculation of a relaxed K4TbPm3Se8 crystal, from Alexandria.

Values from the calculation:
The density comes out at 4.7 g cm⁻³. The calculation puts the total magnetization at 0.0 Bohr magnetons per cell. As for the total DFT energy (no corrections): -4.957 eV/atom. As for the uncorrected formation energy: -1.7605 eV/atom.

Unit cell a=8.5957 b=9.1603 c=8.5959 alpha=118.00 beta=120.00 gamma=90.00
With the nearest neighbours (Å) after each atom.
Fractional coordinates of all 16 atoms:
Pm (0.5000, 0.5000, 0.5000)  6 Se 2.96-2.97
Pm (0.0000, 0.5000, 0.5000)  6 Se 2.96-2.97
Pm (0.5000, 0.5000, 0.0000)  6 Se 2.96-2.97
Tb (0.0000, 0.5000, 0.0000)  6 Se 2.92-2.93
Se (0.7662, 0.2917, 0.0254)  1 Tb 2.92, 2 Pm 2.97
Se (0.2592, 0.2917, 0.0254)  1 Tb 2.92, 2 Pm 2.97
Se (0.7408, 0.7083, 0.9746)  1 Tb 2.92, 2 Pm 2.97
Se (0.2338, 0.7083, 0.4676)  1 Tb 2.93, 2 Pm 2.97
Se (0.7369, 0.7105, 0.4738)  3 Pm 2.96
Se (0.2631, 0.2895, 0.5262)  3 Pm 2.96
Se (0.7662, 0.2917, 0.5324)  1 Tb 2.93, 2 Pm 2.97
Se (0.2338, 0.7083, 0.9746)  1 Tb 2.92, 2 Pm 2.97
K (0.0000, 0.0000, 0.0000)  6 Se 3.33
K (0.0000, 0.0000, 0.5000)  6 Se 3.33-3.34
K (0.5000, 0.0000, 0.5000)  6 Se 3.33-3.34
K (0.5000, 0.0000, 0.0000)  6 Se 3.37

=====

[5]
The following is a PBE calculation of a relaxed DyMg2Ti crystal, from Alexandria.

Values from the calculation:
The density comes out at 4.7 g cm⁻³. The calculation puts the total magnetization at 0.0 Bohr magnetons per cell. As for the total DFT energy (no corrections): -3.790 eV/atom. As for the energy relative to the lowest polymorph listed for this composition: 0 meV per atom.

Unit cell a=3.5348 b=3.5348 c=7.3237 alpha=90.00 beta=90.00 gamma=90.00
With the nearest neighbours (Å) after each atom.
Fractional coordinates of all 4 atoms:
Dy (0.5000, 0.5000, 0.5000)  8 Mg 3.25, 4 Dy 3.53
Mg (0.0000, 0.0000, 0.2155)  4 Ti 2.96, 1 Mg 3.16, 4 Dy 3.25
Mg (0.0000, 0.0000, 0.7845)  4 Ti 2.96, 1 Mg 3.16, 4 Dy 3.25
Ti (0.5000, 0.5000, 0.0000)  8 Mg 2.96

=====

[6]
The following is a PBE calculation of a relaxed CaZnTeAs2 crystal, from Alexandria.

Values from the calculation:
The density comes out at 4.2 g cm⁻³. The calculation puts the total magnetization at 0.0 Bohr magnetons per cell. As for the total DFT energy (no corrections): -2.933 eV/atom. As for the uncorrected formation energy: 0.2104 eV/atom.

Unit cell a=5.4703 b=5.0469 c=5.4703 alpha=90.00 beta=90.00 gamma=90.00
With the nearest neighbours (Å) after each atom.
Fractional coordinates of all 5 atoms:
As (0.0000, 0.0000, 0.5000)  2 Te 2.74
As (0.5000, 0.0000, 0.0000)  2 Te 2.74
Te (0.0000, 0.0000, 0.0000)  2 Zn 2.52, 4 As 2.74
Zn (0.0000, 0.5000, 0.0000)  2 Te 2.52
Ca (0.5000, 0.5000, 0.5000)  8 As 3.72, 4 Zn 3.87

=====

What did the first record say?
The following is a PBE calculation of a relaxed SrLiMgZn crystal, from Alexandria.

Values from the calculation:
The density comes out at 2.8 g cm⁻³. The calculation puts the total magnetization at 0.0 Bohr magnetons per cell. As for the total DFT energy (no corrections): -1.716 eV/atom.

Unit cell a=4.7956 b=4.8065 c=6.1014 alpha=113.04 beta=90.00 gamma=119.93
With the nearest neighbours (Å) after each atom.
Fractional coordinates of all 4 atoms:
Zn (0.4182, 0.8364, 0.8982)  3 Mg 2.80, 3 Li 2.97-3.00
Mg (0.1085, 0.2170, 0.9674)  3 Zn 2.80, 3 Li 2.86
Sr (0.6202, 0.2404, 0.5023)  4 Li 3.25-3.54, 4 Zn 3.29-3.51
Li (0.8194, 0.6388, 0.0995)  3 Mg 2.86, 3 Zn 2.97-3.00

=====

Number 4 is which compound? K4TbPm3Se8

=====

Copy entry 3 word for word.
The following is a PBE calculation of a relaxed BeTlGa crystal, from Alexandria.

Values from the calculation:
The density comes out at 6.2 g cm⁻³. The calculation puts the total magnetization at 0.0 Bohr magnetons per cell. As for the total DFT energy (no corrections): -2.381 eV/atom.

Unit cell a=3.9449 b=3.9449 c=11.2182 alpha=90.00 beta=90.00 gamma=120.00
With the nearest neighbours (Å) after each atom.
Fractional coordinates of all 6 atoms:
Ga (0.0000, 0.0000, 0.2500)  3 Be 2.28
Ga (0.0000, 0.0000, 0.7500)  3 Be 2.28
Be (0.6667, 0.3333, 0.7500)  3 Ga 2.28
Be (0.3333, 0.6667, 0.2500)  3 Ga 2.28
Tl (0.0000, 0.0000, 0.5000)  2 Ga 2.80
Tl (0.0000, 0.0000, 0.0000)  2 Ga 2.80

=====

Which of these has the highest total DFT energy (no corrections)? SrLiMgZn